Here is a geometry-optimized KCoNO structure from OQMD. Energies are from PBE with a Hubbard U.

Values from the calculation:
Its total moment is 1.34 μB/cell. The calculation puts the total DFT energy (no corrections) at -4.66 eV per atom.

a = 3.3689 Å, b = 3.3689 Å, c = 9.8799 Å
α = 90.00°, β = 90.00°, γ = 90.00°
Sites, in units of the cell vectors:
Co  0.7500  0.2500  0.5000
Co  0.2500  0.7500  0.5000
K  0.2500  0.2500  0.1944
K  0.7500  0.7500  0.8056
N  0.7500  0.7500  0.4177
N  0.2500  0.2500  0.5823
O  0.7500  0.2500  0.0000
O  0.2500  0.7500  0.0000